Lu2CuOs | GGA-PBEsol | optimized geometry

abc: 6.606 6.606 6.606
angles: 90.00 90.00 90.00
Space group Fm-3m (No. 225)
Inequivalent atoms, fractional coordinates:
Lu: 0.250 0.250 0.250 x8
Cu: 0.000 0.000 0.000 x4
Os: 0.000 0.000 0.500 x4

Total DFT energy (no corrections): -6.9306 eV per atom
Total moment: 0.000 μB/cell


Lu2CuRh | GGA-PBEsol | optimized geometry

abc: 6.636 6.636 6.636
angles: 90.00 90.00 90.00
Space group Fm-3m (No. 225)
Inequivalent atoms, fractional coordinates:
Lu: 0.250 0.250 0.250 x8
Cu: 0.000 0.000 0.000 x4
Rh: 0.000 0.000 0.500 x4

Total DFT energy (no corrections): -6.1850 eV per atom
Total moment: 0.000 μB/cell